(1)
MgRhBr | PBE | optimized geometry

Cell: 3.344 3.344 5.944 Å, 90.00 90.00 120.00°
Positions (direct):
Br1 0.000 0.000 0.006
Rh1 0.667 0.333 0.654
Mg1 0.333 0.667 0.340

Calculated values
Calculated volume: 19.2 Å³/atom
Distance to the lowest polymorph of the same formula: 9.92 kcal/mol of atoms
Size of the total moment: 0.598 μB/f.u.
Raw formation energy: -0.35 eV per formula unit
Crystal system: trigonal
SG: P3m1 (156)
Fermi-level density of states: 0.955 states/eV/atom

(2)
NaFeIr | PBE | optimized geometry

Cell: 5.066 5.066 8.834 Å, 90.00 90.00 120.00°
Positions (direct):
Ir1 0.000 0.000 0.000
Ir2 0.000 0.000 0.500
Fe1 0.000 0.000 0.250
Fe2 0.000 0.000 0.750
Na1 0.333 0.667 0.250
Na2 0.667 0.333 0.750

Calculated values
Calculated volume: 32.7 Å³/atom
Distance to the lowest polymorph of the same formula: 34.16 kcal/mol of atoms
Size of the total moment: 3.539 μB/f.u.
ΔE_f: 168 kJ per mole of atoms
Crystal system: hexagonal
SG: P6_3/mmc (194)
Fermi-level density of states: 1.023 states/eV/atom

(3)
KRb2AgCl | PBE | optimized geometry

Cell: 6.373 6.373 6.024 Å, 90.00 90.00 90.00°
Positions (direct):
Ag1 0.500 0.500 0.500
Rb1 0.000 0.500 0.000
Rb2 0.500 0.000 0.000
K1 0.000 0.000 0.500
Cl1 0.000 0.000 0.000

Calculated values
Calculated volume: 48.9 Å³/atom
Distance to the lowest polymorph of the same formula: 0.00 kcal/mol of atoms
Size of the total moment: 0.000 μB/f.u.
Raw formation energy: -3.16 eV per formula unit
Crystal system: tetragonal
SG: P4/mmm (123)
Fermi-level density of states: 0.614 states/eV/atom